## Cr2S2F (PBE+U)

Data for an optimized crystal structure of Cr2S2F.

Properties
The calculation puts the magnetic moment at 1.40 μB/atom. Its calculated volume is 15.2 Å³/atom. The raw total energy is -5.801 eV/atom.

Cell: 6.7215 6.7215 3.3644 Å, 90.00 90.00 90.00°
With the nearest neighbours (Å) after each atom.
Space group P4/mbm (No. 127)
Asymmetric unit:
Cr 0.1686 0.3314 0.0000 x4  6 S 2.43-2.71, 2 F 2.50
S 0.1475 0.6475 0.5000 x4  6 Cr 2.43-2.71
F 0.0000 0.0000 0.0000 x2  4 Cr 2.50